Material: ScGaRu3
Method: DFT, PBE
State: optimized geometry

Cell and atoms, written as POSCAR:
```
ScGaRu3
1.0
4.5229 0.0000 0.0000
0.0000 4.5229 0.0000
0.0000 0.0000 4.5229
Sc Ga Ru
1 1 3
direct
0.0000 0.0000 0.0000
0.5000 0.5000 0.5000
0.0000 0.5000 0.5000
0.5000 0.0000 0.5000
0.5000 0.5000 0.0000
```

Values from the calculation:
Energy above the lowest structure with this stoichiometry   0.00 eV/f.u.
DFT formation energy   0.686 eV per atom

Material: BCBr
Method: DFT, PBE
State: optimized geometry

Cell and atoms, written as POSCAR:
```
BCBr
1.0
2.8094 0.0000 0.0000
0.1446 6.9904 0.0000
0.5261 1.5964 6.9302
B C Br
2 2 2
direct
0.0302 0.3736 0.3737
0.9698 0.6264 0.6263
0.4845 0.5646 0.5646
0.5155 0.4354 0.4354
0.0734 0.1929 0.1934
0.9266 0.8071 0.8066
```

Values from the calculation:
Formation energy from raw total energies   0.119 eV/atom

Material: Gd2OsPd
Method: DFT, PBE
State: optimized geometry

Cell and atoms, written as POSCAR:
```
Gd2OsPd
1.0
3.4442 0.0000 0.0000
0.0000 3.4442 0.0000
0.0000 0.0000 7.1533
Gd Os Pd
2 1 1
direct
0.0000 0.0000 0.2380
0.0000 0.0000 0.7620
0.5000 0.5000 0.0000
0.5000 0.5000 0.5000
```

Values from the calculation:
DFT formation energy   -0.499 eV per atom

Material: NaIn5HgPb2
Method: DFT, PBE
State: optimized geometry

Cell and atoms, written as POSCAR:
```
NaIn5HgPb2
1.0
2.2577 -7.7079 0.0000
2.2577 7.7079 0.0000
0.0000 0.0000 14.2868
Na In Hg Pb
2 10 2 4
direct
0.0932 0.9068 0.5000
0.9068 0.0932 0.0000
0.0806 0.9194 0.1631
0.0807 0.9193 0.8300
0.2497 0.7503 0.6649
0.2563 0.7437 0.3347
0.4158 0.5842 0.1714
0.5842 0.4158 0.6714
0.7437 0.2563 0.8347
0.7503 0.2497 0.1649
0.9193 0.0807 0.3300
0.9194 0.0806 0.6631
0.2545 0.7455 0.0016
0.7455 0.2545 0.5016
0.4135 0.5865 0.8251
0.4224 0.5776 0.4986
0.5776 0.4224 0.9986
0.5865 0.4135 0.3251
```

Values from the calculation:
DFT formation energy   -0.028 eV per atom

Material: MnRu2
Method: DFT, PBE
State: optimized geometry

Cell and atoms, written as POSCAR:
```
MnRu2
1.0
4.7966 -1.3370 0.0000
4.7966 1.3370 0.0000
-1.4874 0.0000 6.0437
Mn Ru
2 4
direct
0.0292 0.0292 0.3095
0.9708 0.9708 0.6905
0.3125 0.3125 0.3656
0.3639 0.3639 0.9693
0.6361 0.6361 0.0307
0.6875 0.6875 0.6344
```

Values from the calculation:
DFT formation energy   0.016 eV per atom

Material: TlIn3Sn2
Method: DFT, PBE
State: optimized geometry

Cell and atoms, written as POSCAR:
```
TlIn3Sn2
1.0
3.3438 0.0000 0.0000
0.0000 3.3438 0.0000
0.0000 0.0000 15.1498
Tl In Sn
1 3 2
direct
0.0000 0.0000 0.0000
0.5000 0.5000 0.1765
0.5000 0.5000 0.5000
0.5000 0.5000 0.8235
0.0000 0.0000 0.3380
0.0000 0.0000 0.6620
```

Values from the calculation:
Energy above the lowest structure with this stoichiometry   0.00 eV/f.u.
DFT formation energy   0.032 eV per atom